(1)
## Na2GaAuS (GGA-PBEsol)

Data for Na2GaAuS after structural relaxation.

**DOS at the Fermi energy**: 1.2 states/eV/cell
**M_tot**: 0.0 Bohr magnetons per cell
**Uncorrected energy**: -2.8218 eV per atom
**Mass density**: 4162 kg/m3

a = 5.3642 Å, b = 5.3642 Å, c = 4.7805 Å
α = 90.00°, β = 90.00°, γ = 90.00°
With the nearest neighbours (Å) after each atom.
Space group P4/mmm (No. 123)
Inequivalent atoms, fractional coordinates:
Na: 0.0000 0.5000 0.0000 x2  2 Au 2.68
Ga: 0.0000 0.0000 0.5000 x1  8 Na 3.59, 4 S 3.79
Au: 0.5000 0.5000 0.0000 x1  2 S 2.39
S: 0.5000 0.5000 0.5000 x1  2 Au 2.39


(2)
## NaGaAu2Se (GGA-PBEsol)

Data for NaGaAu2Se after structural relaxation.

**DOS at the Fermi energy**: 1.8 states/eV/cell
**M_tot**: 0.0 Bohr magnetons per cell
**Uncorrected energy**: -3.0675 eV per atom
**Mass density**: 7347 kg/m3

a = 5.0186 Å, b = 5.0186 Å, c = 5.0758 Å
α = 90.00°, β = 90.00°, γ = 90.00°
With the nearest neighbours (Å) after each atom.
Space group P4/mmm (No. 123)
Inequivalent atoms, fractional coordinates:
Na: 0.0000 0.0000 0.0000 x1  2 Se 2.54
Ga: 0.5000 0.5000 0.0000 x1  4 Na 3.55, 8 Au 3.57
Au: 0.0000 0.5000 0.5000 x2  2 Se 2.51
Se: 0.0000 0.0000 0.5000 x1  4 Au 2.51, 2 Na 2.54


(3)
## NaGaW2Au (GGA-PBEsol)

Data for NaGaW2Au after structural relaxation.

**DOS at the Fermi energy**: 7.0 states/eV/cell
**M_tot**: 0.0 Bohr magnetons per cell
**Uncorrected energy**: -5.4861 eV per atom
**Energy of formation**: 1.77 eV/atom
**Mass density**: 10524 kg/m3

a = 4.6595 Å, b = 4.6595 Å, c = 4.7772 Å
α = 90.00°, β = 90.00°, γ = 90.00°
With the nearest neighbours (Å) after each atom.
Space group P4/mmm (No. 123)
Inequivalent atoms, fractional coordinates:
Na: 0.0000 0.0000 0.0000 x1  4 Au 3.29, 8 W 3.34
Ga: 0.5000 0.5000 0.5000 x1  4 W 2.33, 2 Au 2.39
W: 0.0000 0.5000 0.5000 x2  2 Ga 2.33
Au: 0.5000 0.5000 0.0000 x1  2 Ga 2.39


(4)
## Nb3GaAu (GGA-PBEsol)

Data for Nb3GaAu after structural relaxation.

**DOS at the Fermi energy**: 6.8 states/eV/cell
**M_tot**: 0.0 Bohr magnetons per cell
**Uncorrected energy**: -6.9053 eV per atom
**Energy of formation**: 1.04 eV/atom
**Mass density**: 8948 kg/m3

a = 4.6604 Å, b = 4.6604 Å, c = 4.6604 Å
α = 90.00°, β = 90.00°, γ = 90.00°
With the nearest neighbours (Å) after each atom.
Space group Pm-3m (No. 221)
Inequivalent atoms, fractional coordinates:
Nb: 0.0000 0.0000 0.5000 x3  2 Ga 2.33
Ga: 0.0000 0.0000 0.0000 x1  6 Nb 2.33
Au: 0.5000 0.5000 0.5000 x1  12 Nb 3.30